[1]
A plane-wave DFT calculation with PBE was carried out for TmTaIrRu after structural relaxation.

## Properties
total energy: -145.76 eV/cell
N(E_F): 14.803 states/eV/cell
formation energy from the elements: -495 meV per atom

abc: 6.5360 6.5360 6.5360
angles: 90.00 90.00 90.00
Space group F-43m (No. 216)
One atom of each set of equivalent atoms:
Tm 0.0000 0.0000 0.0000 x4
Ta 0.0000 0.0000 0.5000 x4
Ir 0.2500 0.2500 0.2500 x4
Ru 0.2500 0.2500 0.7500 x4

---

[2]
A plane-wave DFT calculation with PBE was carried out for TaVIrRu2 after structural relaxation.

## Properties
total energy: -43.65 eV/cell
N(E_F): 6.479 states/eV/cell
formation energy from the elements: 946 meV per atom

abc: 4.3671 4.3671 4.5358
angles: 90.00 90.00 90.00
Space group P4/mmm (No. 123)
One atom of each set of equivalent atoms:
Ta 0.0000 0.0000 0.0000 x1
V 0.5000 0.5000 0.5000 x1
Ir 0.5000 0.5000 0.0000 x1
Ru 0.0000 0.5000 0.5000 x2

---

[3]
A plane-wave DFT calculation with PBE was carried out for TaVIrRu after structural relaxation.

## Properties
total energy: -81.17 eV/cell
N(E_F): 9.460 states/eV/cell
formation energy from the elements: -370 meV per atom

abc: 4.0907 4.0907 7.2112
angles: 90.00 90.00 90.00
Space group I-4m2 (No. 119)
One atom of each set of equivalent atoms:
Ta 0.0000 0.0000 0.0000 x2
V 0.0000 0.0000 0.5000 x2
Ir 0.0000 0.5000 0.7500 x2
Ru 0.0000 0.5000 0.2500 x2

---

[4]
A plane-wave DFT calculation with PBE was carried out for Ta2Ir5RuW after structural relaxation.

## Properties
total energy: -345.05 eV/cell
N(E_F): 45.588 states/eV/cell
formation energy from the elements: 442 meV per atom

abc: 7.4412 7.4412 10.8670
angles: 90.00 90.00 90.00
Space group I4/mcm (No. 140)
One atom of each set of equivalent atoms:
Ta 0.1175 0.3825 0.0000 x8
Ir 0.0000 0.0000 0.0000 x4
Ir 0.2001 0.2999 0.3648 x16
Ru 0.0000 0.5000 0.2500 x4
W 0.0000 0.0000 0.2500 x4

---

[5]
A plane-wave DFT calculation with PBE was carried out for YTaIrRu after structural relaxation.

## Properties
total energy: -151.85 eV/cell
N(E_F): 14.918 states/eV/cell
formation energy from the elements: -377 meV per atom

abc: 6.5862 6.5862 6.5862
angles: 90.00 90.00 90.00
Space group F-43m (No. 216)
One atom of each set of equivalent atoms:
Y 0.0000 0.0000 0.0000 x4
Ta 0.0000 0.0000 0.5000 x4
Ir 0.2500 0.2500 0.2500 x4
Ru 0.2500 0.2500 0.7500 x4

---

[6]
A plane-wave DFT calculation with PBE was carried out for Zr2TaIr5Ru after structural relaxation.

## Properties
total energy: -324.00 eV/cell
N(E_F): 46.238 states/eV/cell
formation energy from the elements: 170 meV per atom

abc: 7.6495 7.6495 10.8458
angles: 90.00 90.00 90.00
Space group I4/mcm (No. 140)
One atom of each set of equivalent atoms:
Zr 0.1219 0.3781 0.0000 x8
Ta 0.0000 0.0000 0.2500 x4
Ir 0.0000 0.0000 0.0000 x4
Ir 0.1940 0.3060 0.3627 x16
Ru 0.0000 0.5000 0.2500 x4

---

[7]
A plane-wave DFT calculation with PBE was carried out for Tb6Ir2Ru after structural relaxation.

## Properties
energy above the lowest structure with this stoichiometry: 0.0000 eV/atom
total energy: -119.44 eV/cell
N(E_F): 12.994 states/eV/cell
formation energy from the elements: -549 meV per atom

abc: 4.7931 6.8011 14.4826
angles: 90.00 90.00 90.00
Space group Immm (No. 71)
One atom of each set of equivalent atoms:
Tb 0.0000 0.2487 0.0000 x4
Tb 0.0000 0.2508 0.3337 x8
Ir 0.0000 0.5000 0.1670 x4
Ru 0.0000 0.5000 0.5000 x2

---

[8]
A plane-wave DFT calculation with PBE was carried out for TbIrRu after structural relaxation.

## Properties
energy above the lowest structure with this stoichiometry: 0.0023 eV/atom
total energy: -97.78 eV/cell
N(E_F): 11.736 states/eV/cell
formation energy from the elements: -560 meV per atom

abc: 5.2075 5.4310 7.6913
angles: 90.00 90.00 90.00
Space group Imma (No. 74)
One atom of each set of equivalent atoms:
Tb 0.0000 0.2500 0.1228 x4
Ir 0.0000 0.0000 0.5000 x4
Ru 0.2500 0.2500 0.7500 x4

---

[9]
A plane-wave DFT calculation with PBE was carried out for Tb2IrRu after structural relaxation.

## Properties
total energy: -59.23 eV/cell
N(E_F): 3.208 states/eV/cell
formation energy from the elements: -554 meV per atom

abc: 4.8537 3.4224 9.6810
angles: 90.00 90.00 90.00
Space group Pmma (No. 51)
One atom of each set of equivalent atoms:
Tb 0.2500 0.0000 0.1223 x2
Tb 0.2500 0.0000 0.6276 x2
Ir 0.2500 0.5000 0.3745 x2
Ru 0.2500 0.5000 0.8746 x2

---

[10]
A plane-wave DFT calculation with PBE was carried out for Tb8IrRu2 after structural relaxation.

## Properties
energy above the lowest structure with this stoichiometry: 0.0000 eV/atom
total energy: -136.54 eV/cell
N(E_F): 20.147 states/eV/cell
formation energy from the elements: -347 meV per atom

abc: 17.4947 4.8829 6.8441
angles: 90.00 106.82 90.00
Space group C2/m (No. 12)
One atom of each set of equivalent atoms:
Tb 0.0317 0.0000 0.2908 x4
Tb 0.0951 0.5000 0.9503 x4
Tb 0.1679 0.5000 0.4660 x4
Tb 0.2049 0.0000 0.8158 x4
Ir 0.0000 0.5000 0.5000 x2
Ru 0.1863 0.0000 0.2019 x4

---

[11]
A plane-wave DFT calculation with PBE was carried out for Tb6Ir2Ru after structural relaxation.

## Properties
energy above the lowest structure with this stoichiometry: 0.0301 eV/atom
total energy: -118.90 eV/cell
N(E_F): 12.941 states/eV/cell
formation energy from the elements: -519 meV per atom

abc: 6.6535 7.3286 11.4727
angles: 90.00 122.92 90.00
Space group P2_1/c (No. 14)
One atom of each set of equivalent atoms:
Tb 0.0822 0.0397 0.2435 x4
Tb 0.2327 0.6664 0.0765 x4
Tb 0.3915 0.1732 0.0676 x4
Ir 0.3185 0.1291 0.7786 x4
Ru 0.5000 0.0000 0.5000 x2

---

[12]
A plane-wave DFT calculation with PBE was carried out for Tb2IrRu after structural relaxation.

## Properties
total energy: -29.63 eV/cell
N(E_F): 1.577 states/eV/cell
formation energy from the elements: -558 meV per atom

abc: 4.8494 4.8494 3.4212
angles: 90.00 90.00 90.00
Space group P4/mmm (No. 123)
One atom of each set of equivalent atoms:
Tb 0.0000 0.5000 0.0000 x2
Ir 0.0000 0.0000 0.5000 x1
Ru 0.5000 0.5000 0.5000 x1

---

[13]
A plane-wave DFT calculation with PBE was carried out for Tb6IrRu2 after structural relaxation.

## Properties
energy above the lowest structure with this stoichiometry: 0.0142 eV/atom
total energy: -117.30 eV/cell
N(E_F): 10.647 states/eV/cell
formation energy from the elements: -384 meV per atom

abc: 6.6318 7.3681 11.5120
angles: 90.00 123.58 90.00
Space group P2_1/c (No. 14)
One atom of each set of equivalent atoms:
Tb 0.0771 0.0475 0.2410 x4
Tb 0.2270 0.6703 0.0739 x4
Tb 0.3970 0.1718 0.0707 x4
Ir 0.5000 0.0000 0.5000 x2
Ru 0.3079 0.1239 0.7739 x4

---

[14]
A plane-wave DFT calculation with PBE was carried out for Tb4Ir3Ru after structural relaxation.

## Properties
total energy: -59.63 eV/cell
N(E_F): 6.262 states/eV/cell
formation energy from the elements: -656 meV per atom

abc: 3.4677 3.4677 13.4867
angles: 90.00 90.00 90.00
Space group P4/mmm (No. 123)
One atom of each set of equivalent atoms:
Tb 0.0000 0.0000 0.1237 x2
Tb 0.0000 0.0000 0.3748 x2
Ir 0.5000 0.5000 0.2507 x2
Ir 0.5000 0.5000 0.5000 x1
Ru 0.5000 0.5000 0.0000 x1

---

[15]
A plane-wave DFT calculation with PBE was carried out for Tb4IrRu3 after structural relaxation.

## Properties
total energy: -58.59 eV/cell
N(E_F): 7.180 states/eV/cell
formation energy from the elements: -423 meV per atom

abc: 3.4197 4.8414 9.6628
angles: 90.00 90.00 90.00
Space group Pmmm (No. 47)
One atom of each set of equivalent atoms:
Tb 0.0000 0.0000 0.0000 x1
Tb 0.0000 0.0000 0.5000 x1
Tb 0.0000 0.5000 0.2471 x2
Ir 0.5000 0.5000 0.5000 x1
Ru 0.5000 0.0000 0.2502 x2
Ru 0.5000 0.5000 0.0000 x1

---

[16]
A plane-wave DFT calculation with PBE was carried out for Tb8Ir2Ru3 after structural relaxation.

## Properties
total energy: -88.91 eV/cell
N(E_F): 8.029 states/eV/cell
formation energy from the elements: -486 meV per atom

abc: 8.3419 4.8132 8.3678
angles: 90.00 109.55 90.00
Space group P2/m (No. 10)
One atom of each set of equivalent atoms:
Tb 0.1220 0.0000 0.3784 x2
Tb 0.1265 0.5000 0.8716 x2
Tb 0.3720 0.5000 0.6269 x2
Tb 0.3758 0.0000 0.1240 x2
Ir 0.2500 0.5000 0.2503 x2
Ru 0.2517 0.0000 0.7521 x2
Ru 0.5000 0.5000 0.0000 x1

---

[17]
A plane-wave DFT calculation with PBE was carried out for Tb8IrRu5 after structural relaxation.

## Properties
total energy: -191.52 eV/cell
N(E_F): 21.549 states/eV/cell
formation energy from the elements: -248 meV per atom

abc: 8.5606 8.5606 8.5744
angles: 90.00 90.00 90.00
Space group I-4 (No. 82)
One atom of each set of equivalent atoms:
Tb 0.0561 0.3150 0.4562 x8
Tb 0.0741 0.1828 0.8239 x8
Ir 0.0000 0.5000 0.7500 x2
Ru 0.0000 0.0000 0.5000 x2
Ru 0.1205 0.2477 0.1463 x8

---

[18]
A plane-wave DFT calculation with PBE was carried out for Tb4Ir2Ru after structural relaxation.

## Properties
total energy: -150.10 eV/cell
N(E_F): 13.523 states/eV/cell
formation energy from the elements: -645 meV per atom

abc: 4.8429 4.8429 23.5778
angles: 90.00 90.00 120.00
Space group R-3m (No. 166, hexagonal axes)
One atom of each set of equivalent atoms:
Tb 0.0000 0.0000 0.1245 x6
Tb 0.0000 0.0000 0.3751 x6
Ir 0.0000 0.0000 0.2500 x6
Ru 0.0000 0.0000 0.5000 x3

---

[19]
A plane-wave DFT calculation with PBE was carried out for Tb5IrRu2 after structural relaxation.

## Properties
total energy: -217.00 eV/cell
N(E_F): 18.577 states/eV/cell
formation energy from the elements: -461 meV per atom

abc: 7.3038 7.3038 14.1866
angles: 90.00 90.00 90.00
Space group I4/mcm (No. 140)
One atom of each set of equivalent atoms:
Tb 0.0000 0.0000 0.0000 x4
Tb 0.1766 0.3234 0.1434 x16
Ir 0.0000 0.0000 0.2500 x4
Ru 0.1235 0.3765 0.5000 x8

---

[20]
A plane-wave DFT calculation with PBE was carried out for Tb8IrRu2 after structural relaxation.

## Properties
energy above the lowest structure with this stoichiometry: 0.0500 eV/atom
total energy: -135.44 eV/cell
N(E_F): 21.328 states/eV/cell
formation energy from the elements: -297 meV per atom

abc: 8.2855 12.6513 6.0246
angles: 90.00 110.37 90.00
Space group Cm (No. 8)
One atom of each set of equivalent atoms:
Tb 0.0000 0.0000 0.0000 x2
Tb 0.0631 0.3702 0.7913 x4
Tb 0.1444 0.1309 0.5966 x4
Tb 0.2149 0.5000 0.3771 x2
Tb 0.3589 0.2107 0.1871 x4
Ir 0.3601 0.0000 0.0274 x2
Ru 0.3525 0.3104 0.6934 x4

---

[21]
A plane-wave DFT calculation with PBE was carried out for Tb2IrRu after structural relaxation.

## Properties
total energy: -118.68 eV/cell
N(E_F): 9.702 states/eV/cell
formation energy from the elements: -568 meV per atom

abc: 6.8552 6.8552 6.8552
angles: 90.00 90.00 90.00
Space group Fm-3m (No. 225)
One atom of each set of equivalent atoms:
Tb 0.2500 0.2500 0.2500 x8
Ir 0.0000 0.0000 0.0000 x4
Ru 0.0000 0.0000 0.5000 x4

---

[22]
A plane-wave DFT calculation with PBE was carried out for Tb6Ir3Ru after structural relaxation.

## Properties
total energy: -138.00 eV/cell
N(E_F): 10.360 states/eV/cell
formation energy from the elements: -536 meV per atom

abc: 8.0346 12.4341 4.7520
angles: 90.00 90.00 90.00
Space group Pnnm (No. 58)
One atom of each set of equivalent atoms:
Tb 0.0060 0.2395 0.0000 x4
Tb 0.1529 0.4062 0.5000 x4
Tb 0.1775 0.0765 0.5000 x4
Ir 0.0000 0.0000 0.0000 x2
Ir 0.1643 0.8385 0.5000 x4
Ru 0.0000 0.5000 0.0000 x2